! PBE-GGA MnIrPb3, optimized geometry; values from VASP
! Energy above the most stable polymorph in this dataset = 0.0000 eV/atom
! Space group = Pm-3m, No. 221
&SYSTEM
  ibrav = 0, nat = 5, ntyp = 3
/
ATOMIC_SPECIES
Pb 207.20 Pb.upf
Ir 192.22 Ir.upf
Mn 54.94 Mn.upf
CELL_PARAMETERS angstrom
-4.156 -1.543 2.943
-2.539 -1.567 -4.407
2.145 -4.846 0.488
ATOMIC_POSITIONS crystal
Pb 0.000 0.500 0.000
Pb 0.000 0.000 0.500
Pb 0.500 0.000 0.000
Ir 0.000 0.000 0.000
Mn 0.500 0.500 0.500

! PBE-GGA CePuTeI, optimized geometry; values from VASP
! Uncorrected formation energy = -88 kJ/mol of atoms
! Space group = F-43m, No. 216
&SYSTEM
  ibrav = 0, nat = 4, ntyp = 4
/
ATOMIC_SPECIES
I 126.90 I.upf
Te 127.60 Te.upf
Ce 140.12 Ce.upf
Pu 244.00 Pu.upf
CELL_PARAMETERS angstrom
5.457 0.000 0.000
2.729 4.726 0.000
2.729 1.575 4.456
ATOMIC_POSITIONS crystal
I 0.750 0.750 0.750
Te 0.250 0.250 0.250
Ce 0.500 0.500 0.500
Pu 0.000 0.000 0.000

! PBE-GGA Ni3BSb, optimized geometry; values from VASP
! Energy above the most stable polymorph in this dataset = 1.7734 eV/atom
! Uncorrected formation energy = 164 kJ/mol of atoms
! Space group = Pm-3m, No. 221
&SYSTEM
  ibrav = 0, nat = 5, ntyp = 3
/
ATOMIC_SPECIES
Sb 121.76 Sb.upf
B 10.81 B.upf
Ni 58.69 Ni.upf
CELL_PARAMETERS angstrom
4.662 0.000 0.000
0.000 4.662 0.000
0.000 0.000 4.662
ATOMIC_POSITIONS crystal
Sb 0.000 0.000 0.000
B 0.500 0.500 0.500
Ni 0.000 0.500 0.000
Ni 0.000 0.000 0.500
Ni 0.500 0.000 0.000

Number 1: calculated volume 30.1 Å³ per atom. Number 2: calculated volume 28.7 Å³ per atom. Number 3: calculated volume 20.3 Å³ per atom.